# AcMoBrO4, optimized geometry, DFT PBE+U
# VASP energy   -6.938 eV/atom
data_AcMoBrO4
_symmetry_space_group_name_H-M 'C 1 2/m 1'
_symmetry_Int_Tables_number 12
_cell_length_a 11.1051
_cell_length_b 7.8179
_cell_length_c 7.3643
_cell_angle_alpha 90.00
_cell_angle_beta 105.50
_cell_angle_gamma 90.00
loop_
_symmetry_equiv_pos_as_xyz
'x,y,z'
'-x,-y,-z'
'-x,y,-z'
'x,-y,z'
'x+1/2,y+1/2,z'
'-x+1/2,-y+1/2,-z'
'-x+1/2,y+1/2,-z'
'x+1/2,-y+1/2,z'
loop_
_atom_site_label
_atom_site_fract_x
_atom_site_fract_y
_atom_site_fract_z
_atom_site_occupancy
Ac1 0.2314 0.0000 0.1333 1
Mo1 0.1356 0.5000 0.2614 1
Br1 0.0196 0.0000 0.7544 1
O1 0.0301 0.5000 0.7869 1
O2 0.1886 0.3201 0.1463 1
O3 0.2029 0.5000 0.5096 1